An optimized crystal structure of Sr2ScTlO5. Source: Alexandria via LeMat-Bulk, functional GGA-PBE.

Unit cell a=3.552 b=14.194 c=10.805 alpha=90.00 beta=90.00 gamma=90.00
Space group Cmc2_1 (No. 36)
Asymmetric unit:
Sr (0.000, 0.105, 0.000) (multiplicity 4)
Sr (0.000, 0.136, 0.598) (multiplicity 4)
Sc (0.000, 0.473, 0.775) (multiplicity 4)
Tl (0.000, 0.223, 0.322) (multiplicity 4)
O (0.000, 0.054, 0.357) (multiplicity 4)
O (0.000, 0.279, 0.967) (multiplicity 4)
O (0.000, 0.314, 0.693) (multiplicity 4)
O (0.000, 0.384, 0.317) (multiplicity 4)
O (0.000, 0.497, 0.097) (multiplicity 4)

Computed properties:
Energy   -233.27 eV per cell
Total magnetization   0.00 μB/cell
E_form (uncorrected)   -2.385 eV per atom

***

An optimized crystal structure of ScSiTc. Source: Alexandria via LeMat-Bulk, functional GGA-PBE.

Unit cell a=3.1978 b=3.1978 c=5.7979 alpha=90.00 beta=90.00 gamma=120.00
Space group P3m1 (No. 156)
Asymmetric unit:
Sc (0.0000, 0.0000, 0.0000) (multiplicity 1)
Si (0.6667, 0.3333, 0.3624) (multiplicity 1)
Tc (0.3333, 0.6667, 0.6322) (multiplicity 1)

Computed properties:
Energy   -22.81 eV per cell
Relative energy among the computed polymorphs   48.6 kJ per mole of atoms
Total magnetization   0.00 μB/cell
E_form (uncorrected)   -0.230 eV per atom

***

An optimized crystal structure of Sr6Cd2Hg. Source: Alexandria via LeMat-Bulk, functional GGA-PBE.

Unit cell a=11.254 b=11.274 c=11.608 alpha=90.00 beta=90.00 gamma=90.00
Space group Immm (No. 71)
Asymmetric unit:
Sr (0.000, 0.193, 0.245) (multiplicity 8)
Sr (0.209, 0.500, 0.331) (multiplicity 8)
Sr (0.239, 0.326, 0.000) (multiplicity 8)
Cd (0.000, 0.353, 0.500) (multiplicity 4)
Cd (0.000, 0.500, 0.124) (multiplicity 4)
Hg (0.000, 0.000, 0.000) (multiplicity 2)
Hg (0.000, 0.000, 0.500) (multiplicity 2)

Computed properties:
Energy   -57.31 eV per cell
Energy relative to the elements   -0.234 eV per atom
Total magnetization   0.01 μB/cell

***

An optimized crystal structure of Sr2RuBr. Source: Alexandria via LeMat-Bulk, functional GGA-PBE.

Unit cell a=6.967 b=4.005 c=8.839 alpha=90.00 beta=105.10 gamma=90.00
Space group C2/m (No. 12)
Asymmetric unit:
Sr (0.242, 0.000, 0.225) (multiplicity 4)
Ru (0.000, 0.500, 0.000) (multiplicity 2)
Br (0.000, 0.000, 0.500) (multiplicity 2)

Computed properties:
Energy   -31.61 eV per cell
Relative energy among the computed polymorphs   5.8 kJ per mole of atoms
Total magnetization   0.00 μB/cell
E_form (uncorrected)   -0.373 eV per atom

***

An optimized crystal structure of Sr5Mg2F12. Source: Alexandria via LeMat-Bulk, functional GGA-PBE.

Unit cell a=13.007 b=6.324 c=8.108 alpha=90.00 beta=104.37 gamma=90.00
Space group C2/m (No. 12)
Asymmetric unit:
Sr (0.000, 0.000, 0.000) (multiplicity 2)
Sr (0.186, 0.500, 0.861) (multiplicity 4)
Sr (0.204, 0.500, 0.342) (multiplicity 4)
Mg (0.000, 0.240, 0.500) (multiplicity 4)
F (0.005, 0.500, 0.336) (multiplicity 4)
F (0.023, 0.000, 0.348) (multiplicity 4)
F (0.151, 0.253, 0.100) (multiplicity 8)
F (0.160, 0.279, 0.579) (multiplicity 8)

Computed properties:
Energy   -201.25 eV per cell
Total magnetization   2.38 μB/cell
E_form (uncorrected)   -3.504 eV per atom

***

An optimized crystal structure of LaPr5Ga2. Source: Alexandria via LeMat-Bulk, functional GGA-PBE.

Unit cell a=4.451 b=9.997 c=11.413 alpha=90.00 beta=90.00 gamma=90.00
Space group Immm (No. 71)
Asymmetric unit:
La (0.000, 0.000, 0.000) (multiplicity 2)
Pr (0.000, 0.202, 0.349) (multiplicity 8)
Pr (0.000, 0.500, 0.000) (multiplicity 2)
Ga (0.000, 0.500, 0.280) (multiplicity 4)

Computed properties:
Energy   -72.68 eV per cell
Energy relative to the elements   -0.182 eV per atom
Total magnetization   0.00 μB/cell

***

An optimized crystal structure of Ti4SnW. Source: Alexandria via LeMat-Bulk, functional GGA-PBE.

Unit cell a=4.4900 b=4.4900 c=21.4448 alpha=90.00 beta=90.00 gamma=120.00
Space group R-3m (No. 166, hexagonal axes)
Asymmetric unit:
Ti (0.0000, 0.0000, 0.1145) (multiplicity 6)
Ti (0.0000, 0.0000, 0.3659) (multiplicity 6)
Sn (0.0000, 0.0000, 0.5000) (multiplicity 3)
W (0.0000, 0.0000, 0.0000) (multiplicity 3)

Computed properties:
Energy   -140.03 eV per cell
Energy relative to the elements   0.310 eV per atom
Total magnetization   0.00 μB/cell